Computed, not measured: ZrNiO6F6 after structural relaxation at the GGA+U level of DFT.

POSCAR file:
```
ZrNiO6F6
1.0
4.261 -4.004 0.549
4.261 4.004 0.549
-0.188 0.000 5.869
F O Ni Zr
6 6 1 1
Direct
0.263 0.189 0.867
0.133 0.737 0.811
0.867 0.263 0.189
0.737 0.811 0.133
0.189 0.867 0.263
0.811 0.133 0.737
0.446 0.792 0.588
0.412 0.554 0.208
0.792 0.588 0.446
0.208 0.412 0.554
0.588 0.446 0.792
0.554 0.208 0.412
0.500 0.500 0.500
0.000 0.000 0.000
```

The total energy is -4.37 eV/atom.